[1]
A geometry-optimized TmCN2 structure, computed with PBE.

Cell: 11.472 3.521 5.019 Å, 90.00 90.00 90.00°
Fractional positions:
Tm  0.139  0.250  0.066
Tm  0.361  0.750  0.566
Tm  0.639  0.250  0.434
Tm  0.861  0.750  0.934
C  0.135  0.750  0.619
C  0.365  0.250  0.119
C  0.635  0.750  0.881
C  0.865  0.250  0.381
N  0.056  0.750  0.798
N  0.162  0.750  0.371
N  0.338  0.250  0.871
N  0.444  0.250  0.298
N  0.556  0.750  0.702
N  0.662  0.750  0.129
N  0.838  0.250  0.629
N  0.944  0.250  0.202

Computed properties:
E_form (uncorrected) in eV per atom: -0.686
Calculated volume in Å³ per atom: 12.672
Symmetry: Pnma, No. 62
E in eV/atom: -8.27

[2]
A geometry-optimized Na5Li structure, computed with PBE.

Cell: 5.996 3.554 19.113 Å, 90.00 90.00 90.00°
Fractional positions:
Na  0.000  0.000  0.000
Na  0.000  0.000  0.319
Na  0.000  0.500  0.500
Na  0.000  0.500  0.819
Na  0.500  0.000  0.104
Na  0.500  0.000  0.432
Na  0.500  0.000  0.762
Na  0.500  0.500  0.262
Na  0.500  0.500  0.604
Na  0.500  0.500  0.932
Li  0.000  0.000  0.660
Li  0.000  0.500  0.160

Computed properties:
Energy of formation from the pure elements in eV/atom: 0.03
Offset from the most stable computed form in kcal/mol of atoms: 0.12
Calculated volume in Å³ per atom: 33.939
Symmetry: Amm2, No. 38
E in eV/atom: -1.38

[3]
A geometry-optimized Mg2In3 structure, computed with PBE.

Cell: 10.923 7.354 12.966 Å, 57.35 34.53 88.12°
Fractional positions:
Mg  0.136  0.864  0.286
Mg  0.536  0.964  0.386
Mg  0.864  0.136  0.714
Mg  0.964  0.536  0.114
In  0.077  0.570  0.625
In  0.248  0.248  0.752
In  0.498  0.498  0.002
In  0.521  0.625  0.680
In  0.570  0.077  0.729
In  0.625  0.521  0.173

Computed properties:
Energy of formation from the pure elements in eV/atom: -0.03
Offset from the most stable computed form in kcal/mol of atoms: 0.89
Calculated volume in Å³ per atom: 25.152
Symmetry: Fdd2, No. 43
E in eV/atom: -2.31

[4]
A geometry-optimized Ti3GaCl structure, computed with PBE.

Cell: 4.442 4.442 4.442 Å, 90.00 90.00 90.00°
Fractional positions:
Ti  0.000  0.000  0.500
Ti  0.000  0.500  0.000
Ti  0.500  0.000  0.000
Ga  0.500  0.500  0.500
Cl  0.000  0.000  0.000

Computed properties:
E_form (uncorrected) in eV per atom: -0.022
Offset from the most stable computed form in kcal/mol of atoms: 0.00
Calculated volume in Å³ per atom: 17.531
Symmetry: Pm-3m, No. 221
E in eV/atom: -5.73

[5]
A geometry-optimized KGaAg2Hg structure, computed with PBE.

Cell: 5.124 5.124 5.404 Å, 90.00 90.00 90.00°
Fractional positions:
K  0.000  0.000  0.000
Ga  0.500  0.500  0.500
Ag  0.000  0.500  0.500
Ag  0.500  0.000  0.500
Hg  0.500  0.500  0.000

Computed properties:
Energy of formation from the pure elements in eV/atom: 0.00
Calculated volume in Å³ per atom: 28.372
Symmetry: P4/mmm, No. 123
E in eV/atom: -2.02

[6]
A geometry-optimized Al2InAs structure, computed with PBE.

Cell: 4.372 4.372 8.451 Å, 90.00 90.00 90.00°
Fractional positions:
Al  0.000  0.500  0.250
Al  0.000  0.500  0.750
Al  0.500  0.000  0.250
Al  0.500  0.000  0.750
In  0.000  0.000  0.000
In  0.500  0.500  0.500
As  0.000  0.000  0.500
As  0.500  0.500  0.000

Computed properties:
Energy of formation from the pure elements in eV/atom: 0.20
Offset from the most stable computed form in kcal/mol of atoms: 5.26
Calculated volume in Å³ per atom: 20.188
Symmetry: I4/mmm, No. 139
E in eV/atom: -3.51

[7]
A geometry-optimized Ni3PIr structure, computed with PBE.

Cell: 4.082 4.082 4.082 Å, 90.00 90.00 90.00°
Fractional positions:
Ni  0.000  0.000  0.500
Ni  0.000  0.500  0.000
Ni  0.500  0.000  0.000
P  0.000  0.000  0.000
Ir  0.500  0.500  0.500

Computed properties:
Energy of formation from the pure elements in eV/atom: 0.42
Offset from the most stable computed form in kcal/mol of atoms: 0.00
Calculated volume in Å³ per atom: 13.604
Symmetry: Pm-3m, No. 221
E in eV/atom: -5.91

[8]
A geometry-optimized AlTlV2Pt structure, computed with PBE.

Cell: 5.038 5.038 4.779 Å, 90.00 90.00 90.00°
Fractional positions:
Al  0.000  0.000  0.000
Tl  0.000  0.000  0.500
V  0.000  0.500  0.500
V  0.500  0.000  0.500
Pt  0.500  0.500  0.000

Computed properties:
Energy of formation from the pure elements in eV/atom: 1.61
Calculated volume in Å³ per atom: 24.257
Symmetry: P4/mmm, No. 123
E in eV/atom: -4.46

[9]
A geometry-optimized La12PrSn4N3 structure, computed with PBE.

Cell: 9.024 9.024 9.024 Å, 109.47 109.47 109.47°
Fractional positions:
La  0.000  0.274  0.274
La  0.000  0.726  0.726
La  0.250  0.500  0.750
La  0.250  0.750  0.500
La  0.274  0.000  0.274
La  0.274  0.274  0.000
La  0.500  0.250  0.750
La  0.500  0.750  0.250
La  0.726  0.000  0.726
La  0.726  0.726  0.000
La  0.750  0.250  0.500
La  0.750  0.500  0.250
Pr  0.000  0.000  0.000
Sn  0.000  0.000  0.500
Sn  0.000  0.500  0.000
Sn  0.500  0.000  0.000
Sn  0.500  0.500  0.500
N  0.000  0.500  0.500
N  0.500  0.000  0.500
N  0.500  0.500  0.000

Computed properties:
E_form (uncorrected) in eV per atom: -0.662
Calculated volume in Å³ per atom: 28.280
Symmetry: Im-3m, No. 229
E in eV/atom: -5.91

[10]
A geometry-optimized MoRu2Rh2 structure, computed with PBE.

Cell: 7.382 7.382 2.745 Å, 90.00 90.00 90.00°
Fractional positions:
Mo  0.000  0.000  0.000
Mo  0.500  0.500  0.000
Ru  0.121  0.379  0.000
Ru  0.379  0.879  0.000
Ru  0.621  0.121  0.000
Ru  0.879  0.621  0.000
Rh  0.175  0.675  0.500
Rh  0.325  0.175  0.500
Rh  0.675  0.825  0.500
Rh  0.825  0.325  0.500

Computed properties:
Energy of formation from the pure elements in eV/atom: 0.27
Offset from the most stable computed form in kcal/mol of atoms: 0.29
Calculated volume in Å³ per atom: 14.959
Symmetry: P4/mbm, No. 127
E in eV/atom: -8.55

[11]
A geometry-optimized LiMg2Tl2 structure, computed with PBE.

Cell: 9.977 6.886 7.246 Å, 90.00 90.00 90.00°
Fractional positions:
Li  0.176  0.250  0.000
Li  0.176  0.250  0.500
Li  0.824  0.750  0.000
Li  0.824  0.750  0.500
Mg  0.185  0.750  0.000
Mg  0.185  0.750  0.500
Mg  0.499  0.250  0.000
Mg  0.499  0.250  0.500
Mg  0.501  0.750  0.000
Mg  0.501  0.750  0.500
Mg  0.815  0.250  0.000
Mg  0.815  0.250  0.500
Tl  0.005  0.002  0.250
Tl  0.005  0.498  0.750
Tl  0.335  0.009  0.750
Tl  0.335  0.491  0.250
Tl  0.665  0.509  0.750
Tl  0.665  0.991  0.250
Tl  0.995  0.502  0.250
Tl  0.995  0.998  0.750

Computed properties:
Energy of formation from the pure elements in eV/atom: -0.06
Offset from the most stable computed form in kcal/mol of atoms: 0.89
Calculated volume in Å³ per atom: 24.893
Symmetry: Pbcm, No. 57
E in eV/atom: -2.03

[12]
A geometry-optimized Cu3AsPd6 structure, computed with PBE.

Cell: 7.317 4.466 9.481 Å, 90.00 110.06 90.00°
Fractional positions:
Cu  0.036  0.250  0.373
Cu  0.114  0.750  0.210
Cu  0.265  0.250  0.977
Cu  0.735  0.750  0.023
Cu  0.886  0.250  0.790
Cu  0.964  0.750  0.627
As  0.453  0.250  0.600
As  0.547  0.750  0.400
Pd  0.034  0.750  0.920
Pd  0.158  0.250  0.672
Pd  0.251  0.750  0.504
Pd  0.346  0.750  0.824
Pd  0.350  0.250  0.296
Pd  0.422  0.750  0.124
Pd  0.578  0.250  0.876
Pd  0.650  0.750  0.704
Pd  0.654  0.250  0.176
Pd  0.749  0.250  0.496
Pd  0.842  0.750  0.328
Pd  0.966  0.250  0.080

Computed properties:
Energy of formation from the pure elements in eV/atom: -0.17
Offset from the most stable computed form in kcal/mol of atoms: 0.00
Calculated volume in Å³ per atom: 14.550
Symmetry: P2_1/m, No. 11
E in eV/atom: -4.98

[13]
A geometry-optimized LiSn2N3 structure, computed with PBE.

Cell: 5.976 5.976 5.947 Å, 99.65 99.65 119.89°
Fractional positions:
Li  0.079  0.921  0.500
Li  0.921  0.079  0.000
Sn  0.247  0.759  0.996
Sn  0.404  0.567  0.494
Sn  0.567  0.404  0.994
Sn  0.759  0.247  0.496
N  0.038  0.209  0.371
N  0.209  0.038  0.871
N  0.385  0.872  0.374
N  0.532  0.699  0.872
N  0.699  0.532  0.372
N  0.872  0.385  0.874

Computed properties:
E_form (uncorrected) in eV per atom: 0.000
Calculated volume in Å³ per atom: 14.462
Symmetry: Cc, No. 9
E in eV/atom: -5.82

[14]
A geometry-optimized LiLa2TlRu structure, computed with PBE.

Cell: 5.323 5.323 5.047 Å, 90.00 90.00 90.00°
Fractional positions:
Li  0.000  0.000  0.000
La  0.000  0.500  0.500
La  0.500  0.000  0.500
Tl  0.500  0.500  0.000
Ru  0.000  0.000  0.500

Computed properties:
Energy of formation from the pure elements in eV/atom: -0.16
Offset from the most stable computed form in kcal/mol of atoms: 0.00
Calculated volume in Å³ per atom: 28.601
Symmetry: P4/mmm, No. 123
E in eV/atom: -4.84

[15]
A geometry-optimized LaTmSe structure, computed with PBE.

Cell: 3.731 4.322 5.358 Å, 90.00 90.00 90.00°
Fractional positions:
La  0.000  0.000  0.000
Tm  0.000  0.500  0.500
Se  0.500  0.000  0.500

Computed properties:
E_form (uncorrected) in eV per atom: -0.874
Calculated volume in Å³ per atom: 28.804
Symmetry: Pmmm, No. 47
E in eV/atom: -5.17

[16]
A geometry-optimized AgTe8Pd4 structure, computed with PBE.

Cell: 8.097 8.097 8.097 Å, 60.00 60.00 60.00°
Fractional positions:
Ag  0.000  0.000  0.000
Te  0.387  0.387  0.387
Te  0.387  0.387  0.839
Te  0.387  0.839  0.387
Te  0.418  0.861  0.861
Te  0.839  0.387  0.387
Te  0.861  0.418  0.861
Te  0.861  0.861  0.418
Te  0.861  0.861  0.861
Pd  0.132  0.623  0.623
Pd  0.623  0.132  0.623
Pd  0.623  0.623  0.132
Pd  0.623  0.623  0.623

Computed properties:
E_form (uncorrected) in eV per atom: -0.239
Calculated volume in Å³ per atom: 28.870
Symmetry: F-43m, No. 216
E in eV/atom: -3.99

[17]
A geometry-optimized Sr3Tl2Br8 structure, computed with PBE.

Cell: 9.326 9.326 7.843 Å, 106.64 106.64 59.12°
Fractional positions:
Sr  0.000  0.000  0.000
Sr  0.259  0.741  0.500
Sr  0.741  0.259  0.500
Tl  0.274  0.274  0.848
Tl  0.726  0.726  0.152
Br  0.105  0.105  0.409
Br  0.113  0.660  0.102
Br  0.340  0.887  0.898
Br  0.387  0.387  0.565
Br  0.613  0.613  0.435
Br  0.660  0.113  0.102
Br  0.887  0.340  0.898
Br  0.895  0.895  0.591

Computed properties:
E_form (uncorrected) in eV per atom: -1.731
Calculated volume in Å³ per atom: 42.523
Symmetry: C2/m, No. 12
E in eV/atom: -3.51

[18]
A geometry-optimized CsRbZnAs structure, computed with PBE.

Cell: 4.391 4.391 10.554 Å, 98.87 92.48 119.94°
Fractional positions:
Cs  0.000  0.000  0.000
Rb  0.209  0.305  0.544
Zn  0.775  0.490  0.279
As  0.440  0.822  0.277

Computed properties:
Energy of formation from the pure elements in eV/atom: -0.28
Offset from the most stable computed form in kcal/mol of atoms: 0.00
Calculated volume in Å³ per atom: 43.128
Symmetry: P1, No. 1
E in eV/atom: -2.22

[19]
A geometry-optimized Mo3Pd8 structure, computed with PBE.

Cell: 5.820 5.820 5.820 Å, 94.26 94.26 94.26°
Fractional positions:
Mo  0.000  0.500  0.500
Mo  0.500  0.000  0.500
Mo  0.500  0.500  0.000
Pd  0.099  0.325  0.900
Pd  0.100  0.901  0.675
Pd  0.325  0.900  0.099
Pd  0.359  0.359  0.359
Pd  0.641  0.641  0.641
Pd  0.675  0.100  0.901
Pd  0.900  0.099  0.325
Pd  0.901  0.675  0.100

Computed properties:
Energy of formation from the pure elements in eV/atom: 0.63
Calculated volume in Å³ per atom: 17.764
Symmetry: R-3, No. 148
E in eV/atom: -6.10

[20]
A geometry-optimized Sr2LiY structure, computed with PBE.

Cell: 8.580 8.580 8.580 Å, 90.00 90.00 90.00°
Fractional positions:
Sr  0.000  0.000  0.000
Sr  0.000  0.500  0.500
Sr  0.250  0.250  0.250
Sr  0.250  0.750  0.750
Sr  0.500  0.000  0.500
Sr  0.500  0.500  0.000
Sr  0.750  0.250  0.750
Sr  0.750  0.750  0.250
Li  0.000  0.000  0.500
Li  0.000  0.500  0.000
Li  0.500  0.000  0.000
Li  0.500  0.500  0.500
Y  0.250  0.250  0.750
Y  0.250  0.750  0.250
Y  0.750  0.250  0.250
Y  0.750  0.750  0.750

Computed properties:
Energy of formation from the pure elements in eV/atom: 0.29
Offset from the most stable computed form in kcal/mol of atoms: 3.42
Calculated volume in Å³ per atom: 39.482
Symmetry: F-43m, No. 216
E in eV/atom: -2.65